# 1
DFT (PBE) results for a geometry-optimized KSnNF2 structure.

Computed properties:
raw formation energy: -1.365 eV per atom
E above lowest polymorph: 0.000 eV per formula unit

Unit cell a=4.538 b=4.538 c=3.852 alpha=90.00 beta=90.00 gamma=90.00
Atoms (fractional coordinates):
Sn  0.000  0.000  0.000
N  0.000  0.000  0.500
K  0.500  0.500  0.500
F  0.500  0.000  0.000
F  0.000  0.500  0.000

# 2
DFT (PBE) results for a geometry-optimized ZnReAu structure.

Computed properties:
formation energy: 0.2749 eV/atom
E above lowest polymorph: 0.121 eV per formula unit

Unit cell a=6.610 b=6.610 c=6.610 alpha=156.25 beta=156.25 gamma=33.83
Atoms (fractional coordinates):
Re  0.328  0.328  0.000
Au  0.002  0.002  0.000
Zn  0.671  0.671  0.000

# 3
DFT (PBE) results for a geometry-optimized Zn2SbW structure.

Computed properties:
raw formation energy: 0.478 eV per atom

Unit cell a=5.342 b=5.342 c=5.342 alpha=141.63 beta=132.99 gamma=62.23
Atoms (fractional coordinates):
Zn  0.004  0.004  0.000
Zn  0.496  0.496  0.000
W  0.250  0.750  0.500
Sb  0.750  0.250  0.500

# 4
DFT (PBE) results for a geometry-optimized YScHg2 structure.

Computed properties:
formation energy: -0.4586 eV/atom
E above lowest polymorph: 0.029 eV per formula unit

Unit cell a=5.136 b=5.136 c=5.136 alpha=60.00 beta=60.00 gamma=60.00
Atoms (fractional coordinates):
Y  0.500  0.500  0.500
Hg  0.250  0.250  0.250
Hg  0.750  0.750  0.750
Sc  0.000  0.000  0.000

# 5
DFT (PBE) results for a geometry-optimized Zr2AlZn3 structure.

Computed properties:
formation energy: -0.3655 eV/atom

Unit cell a=5.290 b=5.290 c=8.458 alpha=90.00 beta=90.00 gamma=120.00
Each line ends with the local moment (μB).
Atoms (fractional coordinates):
Al  0.000  0.000  0.000  0.00
Al  0.000  0.000  0.500  0.00
Zr  0.667  0.333  0.068  0.36
Zr  0.667  0.333  0.432  0.36
Zr  0.333  0.667  0.568  0.36
Zr  0.333  0.667  0.932  0.36
Zn  0.174  0.348  0.250  0.00
Zn  0.652  0.826  0.250  0.00
Zn  0.826  0.174  0.750  0.00
Zn  0.348  0.174  0.750  0.00
Zn  0.174  0.826  0.250  0.00
Zn  0.826  0.652  0.750  0.00

# 6
DFT (PBE) results for a geometry-optimized Cu8O7 structure.

Computed properties:
raw formation energy: -0.504 eV per atom
E above lowest polymorph: 0.000 eV per formula unit

Unit cell a=6.423 b=6.423 c=5.938 alpha=63.55 beta=63.55 gamma=54.42
Each line ends with the local moment (μB).
Atoms (fractional coordinates):
Cu  0.265  0.758  0.519  0.15
Cu  0.503  0.003  0.999  -0.03
Cu  0.267  0.267  0.499  0.00
Cu  0.745  0.745  0.498  0.10
Cu  0.003  0.003  0.010  -0.01
Cu  0.758  0.265  0.519  0.15
Cu  0.507  0.507  0.960  0.03
Cu  0.003  0.503  0.999  -0.03
O  0.691  0.691  0.855  0.01
O  0.455  0.455  0.404  0.07
O  0.810  0.810  0.131  0.00
O  0.196  0.196  0.872  -0.01
O  0.949  0.949  0.368  0.15
O  0.071  0.071  0.635  0.02
O  0.318  0.318  0.134  -0.01

# 7
DFT (PBE) results for a geometry-optimized LiMg2Au2 structure.

Computed properties:
formation energy: -0.3759 eV/atom
E above lowest polymorph: 0.694 eV per formula unit

Unit cell a=4.184 b=4.184 c=6.806 alpha=72.10 beta=72.10 gamma=90.00
Atoms (fractional coordinates):
Au  0.391  0.391  0.219
Au  0.609  0.609  0.781
Mg  0.750  0.250  0.500
Mg  0.250  0.750  0.500
Li  0.000  0.000  0.000

# 8
DFT (PBE) results for a geometry-optimized Nd2Sm5Er2 structure.

Computed properties:
formation energy: 0.2092 eV/atom
E above lowest polymorph: 1.045 eV per formula unit

Unit cell a=11.923 b=6.819 c=10.155 alpha=109.62 beta=125.95 gamma=90.00
Atoms (fractional coordinates):
Sm  0.622  0.737  0.714
Sm  0.378  0.024  0.286
Sm  0.198  0.156  0.895
Sm  0.993  0.159  0.500
Sm  0.408  0.524  0.286
Sm  0.007  0.659  0.500
Sm  0.197  0.656  0.895
Sm  0.803  0.761  0.105
Sm  0.802  0.261  0.105
Sm  0.592  0.237  0.714
Nd  0.376  0.933  0.747
Nd  0.129  0.686  0.253
Nd  0.624  0.186  0.253
Nd  0.871  0.433  0.747
Er  0.000  0.028  0.000
Er  0.259  0.351  0.500
Er  0.741  0.851  0.500
Er  0.500  0.528  0.000

# 9
DFT (PBE) results for a geometry-optimized RbTlCd structure.

Computed properties:
formation energy: -0.0345 eV/atom
E above lowest polymorph: 0.078 eV per formula unit

Unit cell a=4.640 b=5.399 c=5.399 alpha=120.00 beta=90.00 gamma=90.00
Atoms (fractional coordinates):
Tl  0.167  0.333  0.667
Rb  0.667  0.667  0.333
Cd  0.167  0.000  0.000

# 10
DFT (PBE) results for a geometry-optimized CuHg2Br structure.

Computed properties:
raw formation energy: 0.314 eV per atom
E above lowest polymorph: 1.627 eV per formula unit

Unit cell a=5.185 b=5.185 c=3.494 alpha=90.00 beta=90.00 gamma=90.00
Atoms (fractional coordinates):
Hg  0.000  0.000  0.000
Hg  0.500  0.500  0.000
Br  0.500  0.000  0.500
Cu  0.000  0.500  0.500

# 11
DFT (PBE) results for a geometry-optimized GeSbI3 structure.

Computed properties:
raw formation energy: 0.394 eV per atom
E above lowest polymorph: 0.517 eV per formula unit

Unit cell a=6.022 b=6.022 c=6.022 alpha=90.00 beta=90.00 gamma=90.00
Each line ends with the local moment (μB).
Atoms (fractional coordinates):
I  0.000  0.500  0.000  0.00
I  0.000  0.000  0.500  -0.01
I  0.500  0.000  0.000  0.00
Sb  0.000  0.000  0.000  0.03
Ge  0.500  0.500  0.500  0.56

# 12
DFT (PBE) results for a geometry-optimized VFe2Os structure.

Computed properties:
formation energy: 0.0680 eV/atom

Unit cell a=2.610 b=2.610 c=7.184 alpha=90.00 beta=90.00 gamma=90.00
Each line ends with the local moment (μB).
Atoms (fractional coordinates):
Fe  0.000  0.000  0.748  0.56
Fe  0.000  0.000  0.252  0.56
Os  0.500  0.500  0.500  -0.14
V  0.500  0.500  0.000  -0.20

no.,size of the total moment (μB per atom)
1,0.0000
2,0.0000
3,0.0000
4,0.0000
5,0.1833
6,0.0407
7,0.0000
8,0.0000
9,0.0000
10,0.0000
11,0.2833
12,0.1879